[1]
ReSiSb3 | PBE | optimized geometry

It has space group Pm-3m (No. 221), with a = 5.158 Å, b = 5.158 Å, c = 5.158 Å, α = 90.00°, β = 90.00° and γ = 90.00°. The distinct sites, in fractional coordinates, are Re at (0.000, 0.000, 0.000), Si at (0.500, 0.500, 0.500) and Sb at (0.000, 0.000, 0.500).

The value obtained for the total moment is 0.000 μB/atom. The calculation puts the formation energy without anion corrections at 0.956 eV per atom. The value obtained for the distance to the lowest polymorph of the same formula is 0.000 eV/f.u.

[2]
Re2SiSb | PBE | optimized geometry

It has space group I-4m2 (No. 119), with a = 4.093 Å, b = 4.093 Å, c = 7.736 Å, α = 90.00°, β = 90.00° and γ = 90.00°. The distinct sites, in fractional coordinates, are Re at (0.000, 0.000, 0.000), Re at (0.000, 0.500, 0.250), Si at (0.000, 0.000, 0.500) and Sb at (0.000, 0.500, 0.750).

The value obtained for the total moment is 0.000 μB/atom. The calculation puts the formation energy without anion corrections at 0.641 eV per atom. The value obtained for the distance to the lowest polymorph of the same formula is 1.700 eV/f.u.

[3]
Re2SiSb | PBE | optimized geometry

It has space group P4/mmm (No. 123), with a = 3.118 Å, b = 3.118 Å, c = 6.394 Å, α = 90.00°, β = 90.00° and γ = 90.00°. The distinct sites, in fractional coordinates, are Re at (0.000, 0.000, 0.221), Si at (0.500, 0.500, 0.000) and Sb at (0.500, 0.500, 0.500).

The value obtained for the total moment is 0.000 μB/atom. The calculation puts the formation energy without anion corrections at 0.259 eV per atom. The value obtained for the distance to the lowest polymorph of the same formula is 0.172 eV/f.u.

[4]
Re2SiSb | PBE | optimized geometry

It has space group Cmmm (No. 65), with a = 3.164 Å, b = 5.062 Å, c = 8.294 Å, α = 90.00°, β = 90.00° and γ = 90.00°. The distinct sites, in fractional coordinates, are Re at (0.000, 0.000, 0.220), Si at (0.000, 0.500, 0.000) and Sb at (0.000, 0.500, 0.500).

The value obtained for the total moment is 0.001 μB/atom. The calculation puts the formation energy without anion corrections at 0.629 eV per atom. The value obtained for the distance to the lowest polymorph of the same formula is 1.653 eV/f.u.

[5]
Re2SiSb | PBE | optimized geometry

It has space group C2/m (No. 12), with a = 5.974 Å, b = 8.337 Å, c = 3.027 Å, α = 90.00°, β = 118.08° and γ = 90.00°. The distinct sites, in fractional coordinates, are Re at (0.250, 0.250, 0.000), Si at (0.000, 0.000, 0.500) and Sb at (0.000, 0.500, 0.500).

The value obtained for the total moment is 0.000 μB/atom. The calculation puts the formation energy without anion corrections at 0.727 eV per atom. The value obtained for the distance to the lowest polymorph of the same formula is 2.046 eV/f.u.

[6]
ReSi2Sb2 | PBE | optimized geometry

It has space group I4/mmm (No. 139), with a = 3.735 Å, b = 3.735 Å, c = 16.127 Å, α = 90.00°, β = 90.00° and γ = 90.00°. The distinct sites, in fractional coordinates, are Re at (0.000, 0.000, 0.000), Si at (0.000, 0.000, 0.425) and Sb at (0.000, 0.500, 0.250).

The value obtained for the total moment is 0.000 μB/atom. The calculation puts the formation energy without anion corrections at 1.329 eV per atom. The value obtained for the distance to the lowest polymorph of the same formula is 4.304 eV/f.u.

[7]
ReSi4Sb | PBE | optimized geometry

It has space group F-43m (No. 216), with a = 7.262 Å, b = 7.262 Å, c = 7.262 Å, α = 90.00°, β = 90.00° and γ = 90.00°. The distinct sites, in fractional coordinates, are Re at (0.000, 0.000, 0.000), Si at (0.125, 0.125, 0.375) and Sb at (0.250, 0.250, 0.750).

The value obtained for the total moment is 0.000 μB/atom. The calculation puts the formation energy without anion corrections at 0.824 eV per atom.

[8]
Re2Si2Sb | PBE | optimized geometry

It has space group P4/mbm (No. 127), with a = 7.402 Å, b = 7.402 Å, c = 2.902 Å, α = 90.00°, β = 90.00° and γ = 90.00°. The distinct sites, in fractional coordinates, are Re at (0.148, 0.352, 0.000), Si at (0.140, 0.640, 0.500) and Sb at (0.000, 0.000, 0.000).

The value obtained for the total moment is 0.000 μB/atom. The calculation puts the formation energy without anion corrections at 0.146 eV per atom. The value obtained for the distance to the lowest polymorph of the same formula is 0.544 eV/f.u.